HoPuTc: optimized geometry, PBE.

It has space group P-6m2 (No. 187), with a = 4.6554 Å, b = 4.6554 Å, c = 3.5268 Å, α = 90.00°, β = 90.00° and γ = 120.00°. Symmetry generates all atoms from Ho at (0.0000, 0.0000, 0.0000), Pu at (0.3333, 0.6667, 0.5000) and Tc at (0.6667, 0.3333, 0.5000).

As for the energy: -9.695 eV/atom. For the theoretical density, the calculation gives 12.7 g/cm3. For the energy relative to the elements, the calculation gives 63 meV/atom.

Ca2CdIO6: optimized geometry, PBE.

It has space group R3 (No. 146, hexagonal axes), with a = 5.7713 Å, b = 5.7713 Å, c = 14.8156 Å, α = 90.00°, β = 90.00° and γ = 120.00°. Symmetry generates all atoms from Ca at (0.0000, 0.0000, 0.0000), Ca at (0.0000, 0.0000, 0.4936), Cd at (0.0000, 0.0000, 0.2208), I at (0.0000, 0.0000, 0.7089), O at (0.0111, 0.3983, 0.4457) and O at (0.0757, 0.6930, 0.2892).

As for the energy: -5.209 eV/atom. For the theoretical density, the calculation gives 4.8 g/cm3.

KCeTlPb: optimized geometry, PBE.

It has space group F-43m (No. 216), with a = 8.061 Å, b = 8.061 Å, c = 8.061 Å, α = 90.00°, β = 90.00° and γ = 90.00°. Symmetry generates all atoms from K at (0.000, 0.000, 0.000), Ce at (0.000, 0.000, 0.500), Tl at (0.250, 0.250, 0.250) and Pb at (0.250, 0.250, 0.750).

As for the energy: -3.363 eV/atom. For the theoretical density, the calculation gives 7.5 g/cm3. For the energy relative to the elements, the calculation gives -86 meV/atom.

SmDy5Er3: optimized geometry, PBE.

It has space group C2/c (No. 15), with a = 17.154 Å, b = 6.147 Å, c = 11.217 Å, α = 90.00°, β = 91.12° and γ = 90.00°. Symmetry generates all atoms from Sm at (0.000, 0.121, 0.250), Dy at (0.000, 0.402, 0.750), Dy at (0.163, 0.275, 0.078), Dy at (0.177, 0.209, 0.747), Er at (0.000, 0.000, 0.000) and Er at (0.164, 0.266, 0.418).

As for the energy: -4.281 eV/atom. For the theoretical density, the calculation gives 8.2 g/cm3. For the energy relative to the elements, the calculation gives 321 meV/atom.

Cs3La3TiO8: optimized geometry, PBE.

It has space group R-3m (No. 166, hexagonal axes), with a = 7.1882 Å, b = 7.1882 Å, c = 20.9070 Å, α = 90.00°, β = 90.00° and γ = 120.00°. Symmetry generates all atoms from Cs at (0.0000, 0.5000, 0.0000), La at (0.0000, 0.5000, 0.5000), Ti at (0.0000, 0.0000, 0.5000), O at (0.0000, 0.0000, 0.2229) and O at (0.0475, 0.5237, 0.2177).

As for the energy: -6.977 eV/atom. For the theoretical density, the calculation gives 5.3 g/cm3.

BaZn2FeSe: optimized geometry, PBE.

It has space group P4/mmm (No. 123), with a = 4.831 Å, b = 4.831 Å, c = 4.887 Å, α = 90.00°, β = 90.00° and γ = 90.00°. Symmetry generates all atoms from Ba at (0.000, 0.000, 0.000), Zn at (0.000, 0.500, 0.500), Fe at (0.500, 0.500, 0.500) and Se at (0.500, 0.500, 0.000).

As for the energy: -3.614 eV/atom. For the theoretical density, the calculation gives 5.9 g/cm3.